[1]
Computed, not measured: an optimized crystal structure of GaCo2RuF at the PBE+U level of DFT.

Energy ... -21.40 eV per cell
Space group ... P4/mmm, No. 123

Cell: 4.727 4.021 4.727 Å, 90.00 90.00 90.00°
Each line ends with the local moment (μB).
Element x y z (fractional)
Ru: 0.000 0.000 0.000  0.54
Co: 0.000 0.000 0.500  2.33
Co: 0.500 0.000 0.000  2.10
Ga: 0.500 0.500 0.500  -0.02
F: 0.000 0.500 0.000  -0.01

***

[2]
Computed, not measured: an optimized crystal structure of Sc2GaCoF at the PBE+U level of DFT.

Energy ... -24.28 eV per cell
Space group ... P4/mmm, No. 123

Cell: 4.971 3.659 4.971 Å, 90.00 90.00 90.00°
Element x y z (fractional)
Sc: 0.000 0.000 0.500
Sc: 0.500 0.000 0.000
Co: 0.000 0.000 0.000
Ga: 0.500 0.500 0.500
F: 0.000 0.500 0.000

***

[3]
Computed, not measured: an optimized crystal structure of GaCo2SnF at the PBE+U level of DFT.

Energy ... -16.57 eV per cell
Space group ... P4/mmm, No. 123

Cell: 4.698 5.281 4.698 Å, 90.00 90.00 90.00°
Each line ends with the local moment (μB).
Element x y z (fractional)
Co: 0.000 0.000 0.500  2.07
Co: 0.500 0.000 0.000  2.21
Sn: 0.000 0.500 0.000  0.03
Ga: 0.000 0.000 0.000  0.02
F: 0.500 0.500 0.500  0.05

***

[4]
Computed, not measured: an optimized crystal structure of GaCoSn2F at the PBE+U level of DFT.

Energy ... -18.20 eV per cell
Space group ... P4/mmm, No. 123

Cell: 5.415 3.909 5.415 Å, 90.00 90.00 90.00°
Each line ends with the local moment (μB).
Element x y z (fractional)
Co: 0.500 0.500 0.500  2.10
Sn: 0.000 0.000 0.500  -0.01
Sn: 0.500 0.000 0.000  -0.01
Ga: 0.000 0.000 0.000  0.01
F: 0.000 0.500 0.000  0.00

***

[5]
Computed, not measured: an optimized crystal structure of TlGaCoF6 at the PBE+U level of DFT.

Energy ... -42.61 eV per cell
Space group ... C2, No. 5

Cell: 5.376 5.396 6.073 Å, 90.25 90.13 59.88°
Each line ends with the local moment (μB).
Element x y z (fractional)
Tl: 0.999 0.000 0.000  0.00
Ga: 0.333 0.334 0.500  0.00
Co: 0.665 0.667 0.500  2.79
F: 0.018 0.377 0.318  0.03
F: 0.372 0.019 0.679  0.03
F: 0.611 0.370 0.679  0.03
F: 0.018 0.605 0.682  0.03
F: 0.372 0.609 0.321  0.03
F: 0.611 0.018 0.321  0.03

***

[6]
Computed, not measured: an optimized crystal structure of Tl2GaCoF6 at the PBE+U level of DFT.

Energy ... -86.84 eV per cell
Space group ... P-1, No. 2

Cell: 6.017 6.013 8.824 Å, 89.79 89.93 90.39°
Each line ends with the local moment (μB).
Element x y z (fractional)
Tl: 0.000 0.999 0.241  0.00
Tl: 0.500 0.500 0.759  0.00
Tl: 0.000 0.001 0.759  0.00
Tl: 0.500 0.500 0.241  0.00
Ga: 0.500 0.000 0.500  0.00
Ga: 0.000 0.500 0.000  -0.01
Co: 0.500 0.000 0.000  1.00
Co: 0.000 0.500 0.500  -1.02
F: 0.276 0.773 0.003  -0.01
F: 0.732 0.768 0.501  -0.01
F: 0.724 0.227 0.997  -0.01
F: 0.268 0.232 0.499  -0.01
F: 0.266 0.764 0.500  0.00
F: 0.726 0.776 0.998  -0.01
F: 0.734 0.236 0.500  0.00
F: 0.274 0.224 0.002  -0.01
F: 0.000 0.507 0.285  0.02
F: 0.499 0.001 0.716  0.01
F: 0.000 0.493 0.715  0.02
F: 0.501 0.999 0.284  0.01

***

[7]
Computed, not measured: an optimized crystal structure of CoGeF2 at the PBE+U level of DFT.

Energy ... -15.68 eV per cell
Space group ... Fm-3m, No. 225

Cell: 4.268 4.268 4.268 Å, 60.00 60.00 60.00°
Each line ends with the local moment (μB).
Element x y z (fractional)
Ge: 0.500 0.500 0.500  -0.01
Co: 0.000 0.000 0.000  2.60
F: 0.250 0.250 0.250  0.05
F: 0.750 0.750 0.750  0.05

***

[8]
Computed, not measured: an optimized crystal structure of Co2GeF at the PBE+U level of DFT.

Energy ... -16.31 eV per cell
Space group ... Fm-3m, No. 225

Cell: 4.259 4.259 4.259 Å, 60.00 60.00 60.00°
Each line ends with the local moment (μB).
Element x y z (fractional)
Ge: 0.500 0.500 0.500  -0.19
Co: 0.250 0.250 0.250  2.32
Co: 0.750 0.750 0.750  2.32
F: 0.000 0.000 0.000  0.10

***

[9]
Computed, not measured: an optimized crystal structure of CoGeF3 at the PBE+U level of DFT.

Energy ... -20.64 eV per cell
Space group ... Pm-3m, No. 221

Cell: 4.374 4.374 4.374 Å, 90.00 90.00 90.00°
Each line ends with the local moment (μB).
Element x y z (fractional)
Ge: 0.000 0.000 0.000  0.02
Co: 0.500 0.500 0.500  3.13
F: 0.000 0.500 0.000  0.06
F: 0.000 0.000 0.500  0.05
F: 0.500 0.000 0.000  0.04

***

[10]
Computed, not measured: an optimized crystal structure of CoGe3F at the PBE+U level of DFT.

Energy ... -19.15 eV per cell
Space group ... Pm-3m, No. 221

Cell: 4.513 4.513 4.513 Å, 90.00 90.00 90.00°
Each line ends with the local moment (μB).
Element x y z (fractional)
Ge: 0.000 0.500 0.000  -0.06
Ge: 0.000 0.000 0.500  -0.02
Ge: 0.500 0.000 0.000  -0.01
Co: 0.500 0.500 0.500  2.39
F: 0.000 0.000 0.000  -0.02

***

[11]
Computed, not measured: an optimized crystal structure of CoGeF2 at the PBE+U level of DFT.

Energy ... -17.42 eV per cell
Space group ... R-3m, No. 166

Cell: 8.015 8.015 8.015 Å, 21.07 21.07 21.07°
Each line ends with the local moment (μB).
Element x y z (fractional)
Ge: 0.500 0.500 0.500  0.03
Co: 0.000 0.000 0.000  2.27
F: 0.923 0.923 0.923  0.06
F: 0.077 0.077 0.077  0.06

***

[12]
Computed, not measured: an optimized crystal structure of CoGeF2 at the PBE+U level of DFT.

Energy ... -34.18 eV per cell
Space group ... I-42d, No. 122

Cell: 3.793 3.793 7.883 Å, 76.08 76.08 90.00°
Each line ends with the local moment (μB).
Element x y z (fractional)
Ge: 0.000 0.000 0.000  0.00
Ge: 0.750 0.250 0.500  0.01
Co: 0.500 0.500 0.000  2.23
Co: 0.250 0.750 0.500  2.23
F: 0.612 0.125 0.250  0.04
F: 0.138 0.625 0.250  0.03
F: 0.375 0.388 0.750  0.04
F: 0.875 0.862 0.750  0.04